5
Lattice="4.178 0.000 0.000 0.000 4.169 0.000 0.000 0.000 4.178" Properties=species:S:1:pos:R:3 comment="TiMnCo2P PBE optimized geometry" e_form_kj_per_mol_atoms=54.94 space_group="P4/mmm, No. 123" pbc="T T T"
Co 0.000 0.000 2.089
Mn 0.000 0.000 0.000
P 0.000 2.085 0.000
Co 2.089 0.000 0.000
Ti 2.089 2.085 2.089



12
Lattice="-2.217 -5.406 -3.899 6.121 3.117 -1.472 1.809 -3.432 5.839" Properties=species:S:1:pos:R:3 comment="Tb2Ce3DyP6 PBE optimized geometry" e_form_kj_per_mol_atoms=-150.53 space_group="C2/m, No. 12" pbc="T T T"
Dy 0.000 0.000 0.000
P 2.906 -5.718 -0.046
Ce 0.078 -5.701 -0.575
P 2.335 -3.153 3.048
Tb 0.563 -2.565 -3.090
P 0.034 -2.838 -0.293
Tb 3.341 0.275 -2.281
P 5.679 -2.883 0.761
Ce 5.634 -0.021 1.043
P 2.807 -0.003 0.514
P 3.377 -2.569 -2.581
Ce 2.856 -2.861 0.234



5
Lattice="-0.158 4.789 -2.047 -4.575 0.851 2.344 2.489 1.869 4.179" Properties=species:S:1:pos:R:3 comment="Cd3GaBi PBE optimized geometry" de_polymorph_mev_per_atom=0.0 e_form_kj_per_mol_atoms=30.47 space_group="Pm-3m, No. 221" pbc="T T T"
Cd -2.287 0.426 1.172
Cd -0.079 2.394 -1.024
Ga 0.000 0.000 0.000
Cd 1.245 0.934 2.089
Bi -1.122 3.754 2.238



36
Lattice="-1.603 5.036 -5.574 -6.242 -1.885 0.092 -0.964 4.275 14.776" Properties=species:S:1:pos:R:3 comment="MnH4Br3N PBE optimized geometry" total_energy_ev_per_cell=-164.87 space_group="P1, No. 1" pbc="T T T"
Br -6.746 3.843 -0.660
Br -6.203 2.162 2.451
H -6.501 3.355 -2.975
H -7.305 5.402 4.397
H -3.225 2.956 4.922
H -2.861 1.318 5.284
Mn -1.642 3.541 0.295
H -4.355 1.750 4.646
Br -3.797 4.743 1.341
Mn -5.148 4.761 7.743
H -3.215 3.498 12.711
Br -6.174 2.505 6.679
Mn -4.751 2.594 0.340
Mn -2.027 5.693 7.688
Br -7.249 6.066 6.689
H -5.891 0.836 8.333
Br -3.600 5.220 5.566
Br -5.715 0.450 -0.655
H -3.761 5.077 12.323
Br -2.760 1.342 1.340
H -4.726 3.733 12.018
H -5.050 -1.171 0.966
Br -6.685 4.281 9.907
N -7.608 5.097 3.448
H -3.364 3.972 11.069
H -7.075 4.253 3.143
H -3.005 1.827 3.649
H -7.172 6.519 10.527
N -6.142 3.240 -3.947
N -3.346 1.964 4.625
Br -3.022 3.443 8.779
Br -4.094 7.011 8.803
H -2.368 6.744 3.409
H -5.147 3.510 -3.951
Br -3.294 3.026 -1.772
N -3.754 4.076 12.031



4
Lattice="-3.628 0.842 -0.893 -0.570 -2.640 -0.174 -1.749 0.052 7.158" Properties=species:S:1:pos:R:3 comment="KCr2Fe PBE optimized geometry" de_polymorph_mev_per_atom=91.4 e_form_kj_per_mol_atoms=83.45 space_group="P2/m, No. 10" pbc="T T T"
Cr -1.057 -1.806 2.595
K -3.553 -1.521 4.792
Cr -0.672 -2.129 0.723
Fe -2.394 -0.226 1.300



4
Lattice="0.000 3.776 3.776 3.776 0.000 3.776 3.776 3.776 0.000" Properties=species:S:1:pos:R:3 comment="Na2SrPd PBE optimized geometry" de_polymorph_mev_per_atom=189.0 e_form_kj_per_mol_atoms=0.14 space_group="Fm-3m, No. 225" pbc="T T T"
Sr 0.000 0.000 0.000
Pd 3.776 3.776 3.776
Na 5.664 5.664 5.664
Na 1.888 1.888 1.888